Record 1
CsKC3: optimized geometry, PBE.

Cell lengths 5.680, 5.680, 5.680 Å; angles 90.00, 90.00, 90.00 degrees
Space group Pm-3m (No. 221)
One atom of each set of equivalent atoms:
Cs 0.000 0.000 0.000 [1 per cell]
K 0.500 0.500 0.500 [1 per cell]
C 0.000 0.000 0.500 [3 per cell]

Summary:
- electronic total energy (eV/f.u.) = -12.33
- E_form (meV/atom) = 3458
- offset from the most stable computed form (eV per formula unit) = 0.73
- crystal system = cubic
- N(E_F) (states/eV/f.u.) = 2.04

=====

Record 2
CsK3C: optimized geometry, PBE.

Cell lengths 6.232, 6.232, 6.232 Å; angles 90.00, 90.00, 90.00 degrees
Space group Pm-3m (No. 221)
One atom of each set of equivalent atoms:
Cs 0.000 0.000 0.000 [1 per cell]
K 0.000 0.500 0.500 [3 per cell]
C 0.500 0.500 0.500 [1 per cell]

Summary:
- electronic total energy (eV/f.u.) = -8.82
- E_form (meV/atom) = 910
- offset from the most stable computed form (eV per formula unit) = 0.00
- crystal system = cubic
- N(E_F) (states/eV/f.u.) = 3.29

=====

Record 3
CsKC2N: optimized geometry, PBE.

Cell lengths 5.336, 5.336, 7.574 Å; angles 90.00, 90.00, 90.00 degrees
Space group P4/mmm (No. 123)
One atom of each set of equivalent atoms:
Cs 0.000 0.000 0.000 [1 per cell]
K 0.000 0.000 0.500 [1 per cell]
C 0.000 0.500 0.000 [2 per cell]
N 0.500 0.500 0.500 [1 per cell]

Summary:
- electronic total energy (eV/f.u.) = -12.07
- crystal system = tetragonal
- uncorrected formation energy (eV per atom) = 3.331
- N(E_F) (states/eV/f.u.) = 3.30